# 1
Entry from Alexandria via LeMat-Bulk: a geometry-optimized Li6GaNi2 structure (PBE-GGA).

The space group is C2/m (No. 12) and the conventional cell measures 10.961, 2.782 and 9.197 Å, with angles of 90.00, 106.30 and 90.00 degrees. The inequivalent atoms are Li at (0.034, 0.000, 0.335), Li at (0.170, 0.500, 0.888), Li at (0.197, 0.500, 0.607), Ga at (0.000, 0.000, 0.000) and Ni at (0.150, 0.500, 0.178).

As for the calculated volume: 269 Å³/cell. The calculated total energy is -53.86 eV/cell. The calculation puts the calculated formation energy at -0.095 eV per atom.

***

# 2
Entry from Alexandria via LeMat-Bulk: a geometry-optimized PuHf2Al structure (PBE-GGA).

The space group is P4/mmm (No. 123) and the conventional cell measures 5.055, 5.055 and 3.251 Å, with angles of 90.00, 90.00 and 90.00 degrees. The inequivalent atoms are Pu at (0.000, 0.000, 0.000), Hf at (0.000, 0.500, 0.500) and Al at (0.500, 0.500, 0.000).

As for the calculated volume: 83 Å³/cell. The calculated total energy is -38.09 eV/cell. The calculation puts the calculated formation energy at -0.027 eV per atom.